VASP calculation (PBE) on crystalline Ac3Mg7Pb4 at its relaxed geometry.

Output
Its total moment is 0.00 Bohr magnetons per cell. The energy of formation is -316 meV per atom. As for the density: 6.895 g/cm3.

abc: 9.342 9.342 11.196
angles: 123.54 123.54 30.33
Sites, in units of the cell vectors:
1 Ac 0.000 0.000 0.000
2 Ac 0.307 0.307 0.307
3 Ac 0.693 0.693 0.693
4 Mg 0.000 0.000 0.500
5 Mg 0.148 0.148 0.428
6 Mg 0.324 0.324 0.980
7 Mg 0.493 0.493 0.683
8 Mg 0.507 0.507 0.317
9 Mg 0.676 0.676 0.020
10 Mg 0.852 0.852 0.572
11 Pb 0.122 0.122 0.843
12 Pb 0.347 0.347 0.731
13 Pb 0.653 0.653 0.269
14 Pb 0.878 0.878 0.157